A geometry-optimized Cr2FeSbO6 structure, computed with PBE with a Hubbard U.

Results
- VASP energy (eV/atom) = -7.058
- size of the total moment (μB/f.u.) = 11.00

Cell: 5.2026 5.2943 5.5597 Å, 63.97 88.61 60.93°
With the nearest neighbours (Å) after each atom.
Space group P1 (No. 1)
Symmetry-distinct sites (fractional):
Cr 0.0000 0.0000 0.0000 x1  5 O 2.05-2.29
Cr 0.4834 0.0358 0.4620 x1  6 O 2.01-2.07
Fe 0.2710 0.4596 0.8475 x1  5 O 2.03-2.24
Sb 0.7939 0.4140 0.3981 x1  6 O 1.98-2.07
O 0.0902 0.2297 0.1902 x1  1 Sb 2.03, 2 Cr 2.07-2.13, 1 Fe 2.23
O 0.1819 0.2200 0.6743 x1  2 Cr 2.06-2.16, 1 Sb 2.06, 1 Fe 2.10
O 0.4315 0.4843 0.2026 x1  1 Sb 1.98, 1 Cr 2.05
O 0.5645 0.5735 0.6532 x1  1 Cr 2.01, 1 Fe 2.03, 1 Sb 2.03
O 0.7112 0.8761 0.2066 x1  1 Sb 2.00, 2 Cr 2.03-2.05
O 0.8578 0.9555 0.6673 x1  2 Cr 2.04-2.15, 1 Sb 2.07, 1 Fe 2.20